A plane-wave DFT calculation with PBE+U was carried out for LiHgMo2O8 after structural relaxation.

Structure (POSCAR):
```
LiHgMo2O8
1.0
-5.7117 1.9498 1.2937
1.6171 -4.5165 3.8840
3.9415 4.7109 0.6083
O Hg Li Mo
8 1 1 2
direct
0.3537 0.5606 0.2069 O
0.3537 0.1469 0.7931 O
0.9012 0.2003 0.2992 O
0.7997 0.0988 0.7008 O
0.3980 0.0988 0.2992 O
0.8531 0.6463 0.2069 O
0.9012 0.6020 0.7008 O
0.4394 0.6463 0.7931 O
0.0000 0.0000 0.0000 Hg
0.2500 0.7500 0.5000 Li
0.7500 0.2500 0.5000 Mo
0.5000 0.5000 0.0000 Mo
```

## Properties
Theoretical density   4.8 Mg/m³
DOS at the Fermi energy   10.46 states/eV per cell
Energy   -5.8685 eV per atom
Space-group type   I-4m2